Here is crystalline Tb4Nd5Er2 at its relaxed geometry from Alexandria. Energies are from GGA-PBE.

Cell and atoms, written as CIF:
```
data_Tb4Nd5Er2
_chemical_formula_sum 'Tb4 Nd5 Er2'
_symmetry_space_group_name_H-M 'P 1'
_symmetry_Int_Tables_number 1
_symmetry_space_group_name_Hall 'P 1'
_cell_length_a 12.769
_cell_length_b 12.769
_cell_length_c 12.769
_cell_angle_alpha 164.12
_cell_angle_beta 137.79
_cell_angle_gamma 45.37
loop_
_atom_site_label
_atom_site_type_symbol
_atom_site_fract_x
_atom_site_fract_y
_atom_site_fract_z
_atom_site_occupancy
Tb1 Tb 0.097 0.097 0.000 1
Tb2 Tb 0.190 0.500 0.690 1
Tb3 Tb 0.810 0.500 0.310 1
Tb4 Tb 0.903 0.903 0.000 1
Nd1 Nd 0.150 0.352 0.798 1
Nd2 Nd 0.446 0.648 0.798 1
Nd3 Nd 0.500 0.000 0.500 1
Nd4 Nd 0.554 0.352 0.202 1
Nd5 Nd 0.850 0.648 0.202 1
Er1 Er 0.230 0.230 0.000 1
Er2 Er 0.770 0.770 0.000 1
```

**DFT total energy**: -49.2 eV/f.u.
**Distance to the lowest polymorph of the same formula**: 136 meV per atom
**Symmetry**: Immm, No. 71
**Spin magnetization**: 0.001 μB per atom


Here is crystalline Tb2Nd6Er at its relaxed geometry from Alexandria. Energies are from GGA-PBE.

Cell and atoms, written as CIF:
```
data_Tb2Nd6Er
_chemical_formula_sum 'Tb4 Nd12 Er2'
_symmetry_space_group_name_H-M 'P 1'
_symmetry_Int_Tables_number 1
_symmetry_space_group_name_Hall 'P 1'
_cell_length_a 10.164
_cell_length_b 10.164
_cell_length_c 6.262
_cell_angle_alpha 94.95
_cell_angle_beta 94.95
_cell_angle_gamma 71.36
loop_
_atom_site_label
_atom_site_type_symbol
_atom_site_fract_x
_atom_site_fract_y
_atom_site_fract_z
_atom_site_occupancy
Tb1 Tb 0.068 0.267 0.082 1
Tb2 Tb 0.267 0.068 0.582 1
Tb3 Tb 0.733 0.932 0.418 1
Tb4 Tb 0.932 0.733 0.918 1
Nd1 Nd 0.093 0.812 0.486 1
Nd2 Nd 0.147 0.427 0.652 1
Nd3 Nd 0.188 0.907 0.014 1
Nd4 Nd 0.242 0.522 0.180 1
Nd5 Nd 0.427 0.147 0.152 1
Nd6 Nd 0.478 0.758 0.320 1
Nd7 Nd 0.522 0.242 0.680 1
Nd8 Nd 0.573 0.853 0.848 1
Nd9 Nd 0.758 0.478 0.820 1
Nd10 Nd 0.812 0.093 0.986 1
Nd11 Nd 0.853 0.573 0.348 1
Nd12 Nd 0.907 0.188 0.514 1
Er1 Er 0.400 0.600 0.750 1
Er2 Er 0.600 0.400 0.250 1
```

**DFT total energy**: -41.7 eV/f.u.
**Distance to the lowest polymorph of the same formula**: 0 meV per atom
**Symmetry**: C2/c, No. 15
**Spin magnetization**: 0.000 μB per atom


Here is crystalline Tb7Nd3Er2 at its relaxed geometry from Alexandria. Energies are from GGA-PBE.

Cell and atoms, written as CIF:
```
data_Tb7Nd3Er2
_chemical_formula_sum 'Tb7 Nd3 Er2'
_symmetry_space_group_name_H-M 'P 1'
_symmetry_Int_Tables_number 1
_symmetry_space_group_name_Hall 'P 1'
_cell_length_a 5.857
_cell_length_b 3.576
_cell_length_c 18.859
_cell_angle_alpha 90.00
_cell_angle_beta 93.03
_cell_angle_gamma 90.00
loop_
_atom_site_label
_atom_site_type_symbol
_atom_site_fract_x
_atom_site_fract_y
_atom_site_fract_z
_atom_site_occupancy
Tb1 Tb 0.000 0.000 0.000 1
Tb2 Tb 0.191 0.500 0.177 1
Tb3 Tb 0.257 0.500 0.537 1
Tb4 Tb 0.311 0.000 0.856 1
Tb5 Tb 0.689 0.000 0.144 1
Tb6 Tb 0.743 0.500 0.463 1
Tb7 Tb 0.809 0.500 0.823 1
Nd1 Nd 0.221 0.000 0.366 1
Nd2 Nd 0.500 0.500 0.000 1
Nd3 Nd 0.779 0.000 0.634 1
Er1 Er 0.290 0.500 0.707 1
Er2 Er 0.710 0.500 0.293 1
```

**DFT total energy**: -54.8 eV/f.u.
**Distance to the lowest polymorph of the same formula**: 0 meV per atom
**Symmetry**: P2/m, No. 10
**Spin magnetization**: 0.000 μB per atom


Here is crystalline Tb2Nd6Er5 at its relaxed geometry from Alexandria. Energies are from GGA-PBE.

Cell and atoms, written as CIF:
```
data_Tb2Nd6Er5
_chemical_formula_sum 'Tb4 Nd12 Er10'
_symmetry_space_group_name_H-M 'P 1'
_symmetry_Int_Tables_number 1
_symmetry_space_group_name_Hall 'P 1'
_cell_length_a 11.728
_cell_length_b 20.504
_cell_length_c 3.623
_cell_angle_alpha 90.00
_cell_angle_beta 90.00
_cell_angle_gamma 90.00
loop_
_atom_site_label
_atom_site_type_symbol
_atom_site_fract_x
_atom_site_fract_y
_atom_site_fract_z
_atom_site_occupancy
Tb1 Tb 0.166 0.212 0.000 1
Tb2 Tb 0.334 0.712 0.000 1
Tb3 Tb 0.666 0.288 0.000 1
Tb4 Tb 0.834 0.788 0.000 1
Nd1 Nd 0.059 0.921 0.000 1
Nd2 Nd 0.082 0.634 0.000 1
Nd3 Nd 0.175 0.368 0.500 1
Nd4 Nd 0.325 0.868 0.500 1
Nd5 Nd 0.418 0.134 0.000 1
Nd6 Nd 0.441 0.421 0.000 1
Nd7 Nd 0.559 0.579 0.000 1
Nd8 Nd 0.582 0.866 0.000 1
Nd9 Nd 0.675 0.132 0.500 1
Nd10 Nd 0.825 0.632 0.500 1
Nd11 Nd 0.918 0.366 0.000 1
Nd12 Nd 0.941 0.079 0.000 1
Er1 Er 0.000 0.500 0.500 1
Er2 Er 0.094 0.775 0.500 1
Er3 Er 0.200 0.056 0.500 1
Er4 Er 0.300 0.556 0.500 1
Er5 Er 0.406 0.275 0.500 1
Er6 Er 0.500 0.000 0.500 1
Er7 Er 0.594 0.725 0.500 1
Er8 Er 0.700 0.444 0.500 1
Er9 Er 0.800 0.944 0.500 1
Er10 Er 0.906 0.225 0.500 1
```

**DFT total energy**: -59.3 eV/f.u.
**Symmetry**: Pbam, No. 55
**Spin magnetization**: 0.000 μB per atom


Here is crystalline TbNd4Er5 at its relaxed geometry from Alexandria. Energies are from GGA-PBE.

Cell and atoms, written as CIF:
```
data_TbNd4Er5
_chemical_formula_sum 'Tb1 Nd4 Er5'
_symmetry_space_group_name_H-M 'P 1'
_symmetry_Int_Tables_number 1
_symmetry_space_group_name_Hall 'P 1'
_cell_length_a 8.739
_cell_length_b 8.739
_cell_length_c 11.265
_cell_angle_alpha 90.10
_cell_angle_beta 90.10
_cell_angle_gamma 23.26
loop_
_atom_site_label
_atom_site_type_symbol
_atom_site_fract_x
_atom_site_fract_y
_atom_site_fract_z
_atom_site_occupancy
Tb1 Tb 0.000 0.000 0.000 1
Nd1 Nd 0.158 0.158 0.250 1
Nd2 Nd 0.468 0.468 0.251 1
Nd3 Nd 0.532 0.532 0.749 1
Nd4 Nd 0.842 0.842 0.750 1
Er1 Er 0.000 0.000 0.500 1
Er2 Er 0.326 0.326 0.050 1
Er3 Er 0.327 0.327 0.452 1
Er4 Er 0.673 0.673 0.548 1
Er5 Er 0.674 0.674 0.950 1
```

**DFT total energy**: -44.6 eV/f.u.
**Distance to the lowest polymorph of the same formula**: 0 meV per atom
**Symmetry**: C2/m, No. 12
**Spin magnetization**: 0.000 μB per atom


Here is crystalline TbNd5Er4 at its relaxed geometry from Alexandria. Energies are from GGA-PBE.

Cell and atoms, written as CIF:
```
data_TbNd5Er4
_chemical_formula_sum 'Tb1 Nd5 Er4'
_symmetry_space_group_name_H-M 'P 1'
_symmetry_Int_Tables_number 1
_symmetry_space_group_name_Hall 'P 1'
_cell_length_a 9.283
_cell_length_b 9.283
_cell_length_c 10.502
_cell_angle_alpha 96.19
_cell_angle_beta 96.19
_cell_angle_gamma 22.27
loop_
_atom_site_label
_atom_site_type_symbol
_atom_site_fract_x
_atom_site_fract_y
_atom_site_fract_z
_atom_site_occupancy
Tb1 Tb 0.000 0.000 0.000 1
Nd1 Nd 0.000 0.000 0.500 1
Nd2 Nd 0.311 0.311 0.402 1
Nd3 Nd 0.358 0.358 0.771 1
Nd4 Nd 0.642 0.642 0.229 1
Nd5 Nd 0.689 0.689 0.598 1
Er1 Er 0.182 0.182 0.914 1
Er2 Er 0.454 0.454 0.236 1
Er3 Er 0.546 0.546 0.764 1
Er4 Er 0.818 0.818 0.086 1
```

**DFT total energy**: -45.3 eV/f.u.
**Distance to the lowest polymorph of the same formula**: 0 meV per atom
**Symmetry**: C2/m, No. 12
**Spin magnetization**: 0.000 μB per atom


Here is crystalline Tb12NdEr2 at its relaxed geometry from Alexandria. Energies are from GGA-PBE.

Cell and atoms, written as CIF:
```
data_Tb12NdEr2
_chemical_formula_sum 'Tb24 Nd2 Er4'
_symmetry_space_group_name_H-M 'P 1'
_symmetry_Int_Tables_number 1
_symmetry_space_group_name_Hall 'P 1'
_cell_length_a 6.632
_cell_length_b 6.632
_cell_length_c 24.408
_cell_angle_alpha 92.25
_cell_angle_beta 92.25
_cell_angle_gamma 114.98
loop_
_atom_site_label
_atom_site_type_symbol
_atom_site_fract_x
_atom_site_fract_y
_atom_site_fract_z
_atom_site_occupancy
Tb1 Tb 0.057 0.542 0.202 1
Tb2 Tb 0.077 0.588 0.330 1
Tb3 Tb 0.134 0.642 0.555 1
Tb4 Tb 0.147 0.147 0.572 1
Tb5 Tb 0.215 0.215 0.857 1
Tb6 Tb 0.232 0.732 0.925 1
Tb7 Tb 0.268 0.768 0.075 1
Tb8 Tb 0.283 0.283 0.135 1
Tb9 Tb 0.358 0.866 0.445 1
Tb10 Tb 0.359 0.359 0.421 1
Tb11 Tb 0.412 0.923 0.670 1
Tb12 Tb 0.458 0.943 0.798 1
Tb13 Tb 0.542 0.057 0.202 1
Tb14 Tb 0.588 0.077 0.330 1
Tb15 Tb 0.641 0.641 0.579 1
Tb16 Tb 0.642 0.134 0.555 1
Tb17 Tb 0.717 0.717 0.865 1
Tb18 Tb 0.732 0.232 0.925 1
Tb19 Tb 0.768 0.268 0.075 1
Tb20 Tb 0.785 0.785 0.143 1
Tb21 Tb 0.853 0.853 0.428 1
Tb22 Tb 0.866 0.358 0.445 1
Tb23 Tb 0.923 0.412 0.670 1
Tb24 Tb 0.943 0.458 0.798 1
Nd1 Nd 0.249 0.249 0.997 1
Nd2 Nd 0.751 0.751 0.003 1
Er1 Er 0.073 0.073 0.273 1
Er2 Er 0.437 0.437 0.728 1
Er3 Er 0.563 0.563 0.272 1
Er4 Er 0.927 0.927 0.727 1
```

**DFT total energy**: -67.8 eV/f.u.
**Symmetry**: C2/m, No. 12
**Spin magnetization**: 0.000 μB per atom


Here is crystalline Tb2Nd9Er at its relaxed geometry from Alexandria. Energies are from GGA-PBE.

Cell and atoms, written as CIF:
```
data_Tb2Nd9Er
_chemical_formula_sum 'Tb2 Nd9 Er1'
_symmetry_space_group_name_H-M 'P 1'
_symmetry_Int_Tables_number 1
_symmetry_space_group_name_Hall 'P 1'
_cell_length_a 5.155
_cell_length_b 5.155
_cell_length_c 15.466
_cell_angle_alpha 90.00
_cell_angle_beta 90.00
_cell_angle_gamma 90.00
loop_
_atom_site_label
_atom_site_type_symbol
_atom_site_fract_x
_atom_site_fract_y
_atom_site_fract_z
_atom_site_occupancy
Tb1 Tb 0.000 0.000 0.167 1
Tb2 Tb 0.000 0.000 0.833 1
Nd1 Nd 0.000 0.500 0.000 1
Nd2 Nd 0.000 0.500 0.334 1
Nd3 Nd 0.000 0.500 0.666 1
Nd4 Nd 0.500 0.000 0.000 1
Nd5 Nd 0.500 0.000 0.334 1
Nd6 Nd 0.500 0.000 0.666 1
Nd7 Nd 0.500 0.500 0.167 1
Nd8 Nd 0.500 0.500 0.500 1
Nd9 Nd 0.500 0.500 0.833 1
Er1 Er 0.000 0.000 0.500 1
```

**DFT total energy**: -56.6 eV/f.u.
**Symmetry**: P4/mmm, No. 123
**Spin magnetization**: 0.000 μB per atom


Here is crystalline Tb3Nd2Er4 at its relaxed geometry from Alexandria. Energies are from GGA-PBE.

Cell and atoms, written as CIF:
```
data_Tb3Nd2Er4
_chemical_formula_sum 'Tb3 Nd2 Er4'
_symmetry_space_group_name_H-M 'P 1'
_symmetry_Int_Tables_number 1
_symmetry_space_group_name_Hall 'P 1'
_cell_length_a 6.164
_cell_length_b 6.170
_cell_length_c 9.415
_cell_angle_alpha 108.94
_cell_angle_beta 90.12
_cell_angle_gamma 119.96
loop_
_atom_site_label
_atom_site_type_symbol
_atom_site_fract_x
_atom_site_fract_y
_atom_site_fract_z
_atom_site_occupancy
Tb1 Tb 0.000 0.000 0.000 1
Tb2 Tb 0.445 0.554 0.331 1
Tb3 Tb 0.555 0.446 0.669 1
Nd1 Nd 0.223 0.780 0.668 1
Nd2 Nd 0.777 0.220 0.332 1
Er1 Er 0.110 0.887 0.332 1
Er2 Er 0.333 0.665 0.000 1
Er3 Er 0.667 0.335 0.000 1
Er4 Er 0.890 0.113 0.668 1
```

**DFT total energy**: -41.5 eV/f.u.
**Distance to the lowest polymorph of the same formula**: 0 meV per atom
**Symmetry**: P-1, No. 2
**Spin magnetization**: 0.000 μB per atom


Here is crystalline Tb2Nd8Er at its relaxed geometry from Alexandria. Energies are from GGA-PBE.

Cell and atoms, written as CIF:
```
data_Tb2Nd8Er
_chemical_formula_sum 'Tb2 Nd8 Er1'
_symmetry_space_group_name_H-M 'P 1'
_symmetry_Int_Tables_number 1
_symmetry_space_group_name_Hall 'P 1'
_cell_length_a 8.574
_cell_length_b 8.574
_cell_length_c 5.507
_cell_angle_alpha 90.05
_cell_angle_beta 90.05
_cell_angle_gamma 105.16
loop_
_atom_site_label
_atom_site_type_symbol
_atom_site_fract_x
_atom_site_fract_y
_atom_site_fract_z
_atom_site_occupancy
Tb1 Tb 0.119 0.881 0.000 1
Tb2 Tb 0.881 0.119 0.000 1
Nd1 Nd 0.166 0.166 0.500 1
Nd2 Nd 0.201 0.469 0.999 1
Nd3 Nd 0.248 0.752 0.500 1
Nd4 Nd 0.469 0.201 0.999 1
Nd5 Nd 0.531 0.799 0.001 1
Nd6 Nd 0.752 0.248 0.500 1
Nd7 Nd 0.799 0.531 0.001 1
Nd8 Nd 0.834 0.834 0.500 1
Er1 Er 0.500 0.500 0.500 1
```

**DFT total energy**: -50.2 eV/f.u.
**Distance to the lowest polymorph of the same formula**: 0 meV per atom
**Symmetry**: C2/m, No. 12
**Spin magnetization**: 0.000 μB per atom


Here is crystalline Tb15Nd4Er at its relaxed geometry from Alexandria. Energies are from GGA-PBE.

Cell and atoms, written as CIF:
```
data_Tb15Nd4Er
_chemical_formula_sum 'Tb15 Nd4 Er1'
_symmetry_space_group_name_H-M 'P 1'
_symmetry_Int_Tables_number 1
_symmetry_space_group_name_Hall 'P 1'
_cell_length_a 5.069
_cell_length_b 5.069
_cell_length_c 25.289
_cell_angle_alpha 90.00
_cell_angle_beta 90.00
_cell_angle_gamma 90.00
loop_
_atom_site_label
_atom_site_type_symbol
_atom_site_fract_x
_atom_site_fract_y
_atom_site_fract_z
_atom_site_occupancy
Tb1 Tb 0.000 0.000 0.000 1
Tb2 Tb 0.000 0.000 0.198 1
Tb3 Tb 0.000 0.000 0.400 1
Tb4 Tb 0.000 0.000 0.600 1
Tb5 Tb 0.000 0.000 0.802 1
Tb6 Tb 0.000 0.500 0.098 1
Tb7 Tb 0.000 0.500 0.299 1
Tb8 Tb 0.000 0.500 0.500 1
Tb9 Tb 0.000 0.500 0.701 1
Tb10 Tb 0.000 0.500 0.902 1
Tb11 Tb 0.500 0.000 0.098 1
Tb12 Tb 0.500 0.000 0.299 1
Tb13 Tb 0.500 0.000 0.500 1
Tb14 Tb 0.500 0.000 0.701 1
Tb15 Tb 0.500 0.000 0.902 1
Nd1 Nd 0.500 0.500 0.199 1
Nd2 Nd 0.500 0.500 0.399 1
Nd3 Nd 0.500 0.500 0.601 1
Nd4 Nd 0.500 0.500 0.801 1
Er1 Er 0.500 0.500 0.000 1
```

**DFT total energy**: -92.7 eV/f.u.
**Symmetry**: P4/mmm, No. 123
**Spin magnetization**: 0.000 μB per atom


Here is crystalline Tb3Nd2Er5 at its relaxed geometry from Alexandria. Energies are from GGA-PBE.

Cell and atoms, written as CIF:
```
data_Tb3Nd2Er5
_chemical_formula_sum 'Tb6 Nd4 Er10'
_symmetry_space_group_name_H-M 'P 1'
_symmetry_Int_Tables_number 1
_symmetry_space_group_name_Hall 'P 1'
_cell_length_a 12.295
_cell_length_b 12.295
_cell_length_c 12.295
_cell_angle_alpha 135.19
_cell_angle_beta 56.10
_cell_angle_gamma 148.03
loop_
_atom_site_label
_atom_site_type_symbol
_atom_site_fract_x
_atom_site_fract_y
_atom_site_fract_z
_atom_site_occupancy
Tb1 Tb 0.128 0.748 0.876 1
Tb2 Tb 0.250 0.250 0.000 1
Tb3 Tb 0.372 0.248 0.621 1
Tb4 Tb 0.628 0.752 0.379 1
Tb5 Tb 0.750 0.750 0.000 1
Tb6 Tb 0.872 0.252 0.124 1
Nd1 Nd 0.126 0.103 0.229 1
Nd2 Nd 0.374 0.603 0.977 1
Nd3 Nd 0.626 0.397 0.023 1
Nd4 Nd 0.874 0.897 0.771 1
Er1 Er 0.002 0.750 0.252 1
Er2 Er 0.124 0.413 0.537 1
Er3 Er 0.250 0.750 0.500 1
Er4 Er 0.376 0.913 0.289 1
Er5 Er 0.498 0.750 0.748 1
Er6 Er 0.502 0.250 0.252 1
Er7 Er 0.624 0.087 0.711 1
Er8 Er 0.750 0.250 0.500 1
Er9 Er 0.876 0.587 0.463 1
Er10 Er 0.998 0.250 0.748 1
```

**DFT total energy**: -42.1 eV/f.u.
**Distance to the lowest polymorph of the same formula**: 219 meV per atom
**Symmetry**: Ibam, No. 72
**Spin magnetization**: 0.000 μB per atom


Number 1: energy of formation 0.2108 eV per atom, ρ 7.3 g/cm3. Number 2: energy of formation 0.0822 eV per atom, ρ 7.4 g/cm3. Number 3: energy of formation 0.0865 eV per atom, ρ 7.9 g/cm3. Number 4: energy of formation 0.1029 eV per atom, ρ 7.7 g/cm3. Number 5: energy of formation 0.1933 eV per atom, ρ 7.7 g/cm3. Number 6: energy of formation 0.1448 eV per atom, ρ 7.5 g/cm3. Number 7: energy of formation 0.1105 eV per atom, ρ 8.2 g/cm3. Number 8: energy of formation 0.0152 eV per atom, ρ 7.2 g/cm3. Number 9: energy of formation 0.0184 eV per atom, ρ 8.3 g/cm3. Number 10: energy of formation 0.1599 eV per atom, ρ 7.0 g/cm3. Number 11: energy of formation 0.0174 eV per atom, ρ 8.0 g/cm3. Number 12: energy of formation 0.4116 eV per atom, ρ 7.7 g/cm3.